Arrangement a

# SmPd3Pt (PBE-GGA, optimized geometry)
# * volume: 373.34 Å³ per cell
# * total magnetic moment: 0.0 μB per cell
# * mass density: 11.83 Mg/m³
data_SmPd3Pt
_chemical_formula_sum 'Sm4 Pd12 Pt4'
_cell_length_a 15.698
_cell_length_b 4.440
_cell_length_c 5.357
_cell_angle_alpha 90.00
_cell_angle_beta 90.99
_cell_angle_gamma 90.00
_symmetry_space_group_name_H-M 'C 1 2/m 1'
_symmetry_Int_Tables_number 12
_symmetry_space_group_name_Hall '-C 2y'
loop_
_atom_site_label
_atom_site_type_symbol
_atom_site_fract_x
_atom_site_fract_y
_atom_site_fract_z
_atom_site_occupancy
Sm1 Sm 0.134 0.000 0.286 1
Pd1 Pd 0.000 0.500 0.000 1
Pd2 Pd 0.000 0.500 0.500 1
Pd3 Pd 0.159 0.500 0.712 1
Pd4 Pd 0.247 0.000 0.832 1
Pt1 Pt 0.058 0.000 0.772 1

***

Arrangement b

# SmPd3Pt (PBE-GGA, optimized geometry)
# * volume: 469.05 Å³ per cell
# * total magnetic moment: 0.0 μB per cell
# * mass density: 9.41 Mg/m³
data_SmPd3Pt
_chemical_formula_sum 'Sm4 Pd12 Pt4'
_cell_length_a 5.082
_cell_length_b 5.082
_cell_length_c 18.164
_cell_angle_alpha 90.00
_cell_angle_beta 90.00
_cell_angle_gamma 90.00
_symmetry_space_group_name_H-M 'I -4 m 2'
_symmetry_Int_Tables_number 119
_symmetry_space_group_name_Hall 'I -4 -2'
loop_
_atom_site_label
_atom_site_type_symbol
_atom_site_fract_x
_atom_site_fract_y
_atom_site_fract_z
_atom_site_occupancy
Sm1 Sm 0.000 0.000 0.163 1
Pd1 Pd 0.000 0.248 0.624 1
Pd2 Pd 0.000 0.500 0.067 1
Pt1 Pt 0.000 0.000 0.500 1
Pt2 Pt 0.000 0.500 0.750 1

***

The most stable arrangement is arrangement a, and the next structure is 0.486 eV/atom less stable.

***

Arrangement a

# TbSmPdPt (PBE-GGA, optimized geometry)
# * volume: 356.20 Å³ per cell
# * total magnetic moment: 0.0 μB per cell
# * mass density: 11.39 Mg/m³
data_TbSmPdPt
_chemical_formula_sum 'Tb4 Sm4 Pd4 Pt4'
_cell_length_a 7.089
_cell_length_b 7.089
_cell_length_c 7.089
_cell_angle_alpha 90.00
_cell_angle_beta 90.00
_cell_angle_gamma 90.00
_symmetry_space_group_name_H-M 'F -4 3 m'
_symmetry_Int_Tables_number 216
_symmetry_space_group_name_Hall 'F -4 2 3'
loop_
_atom_site_label
_atom_site_type_symbol
_atom_site_fract_x
_atom_site_fract_y
_atom_site_fract_z
_atom_site_occupancy
Tb1 Tb 0.000 0.000 0.000 1
Sm1 Sm 0.000 0.000 0.500 1
Pd1 Pd 0.250 0.250 0.750 1
Pt1 Pt 0.250 0.250 0.250 1

***

Arrangement b

# TbSmPdPt (PBE-GGA, optimized geometry)
# * volume: 185.03 Å³ per cell
# * total magnetic moment: 0.0 μB per cell
# * mass density: 10.96 Mg/m³
data_TbSmPdPt
_chemical_formula_sum 'Tb2 Sm2 Pd2 Pt2'
_cell_length_a 4.525
_cell_length_b 3.826
_cell_length_c 10.688
_cell_angle_alpha 90.00
_cell_angle_beta 90.00
_cell_angle_gamma 90.00
_symmetry_space_group_name_H-M 'A m m 2'
_symmetry_Int_Tables_number 38
_symmetry_space_group_name_Hall 'A 2 -2'
loop_
_atom_site_label
_atom_site_type_symbol
_atom_site_fract_x
_atom_site_fract_y
_atom_site_fract_z
_atom_site_occupancy
Tb1 Tb 0.000 0.000 0.000 1
Sm1 Sm 0.500 0.000 0.275 1
Pd1 Pd 0.000 0.000 0.723 1
Pt1 Pt 0.500 0.000 0.549 1

***

The most stable arrangement is arrangement b, and the next structure is 0.065 eV/atom less stable.

***

Arrangement a

# SmYPdPt (PBE-GGA, optimized geometry)
# * volume: 184.80 Å³ per cell
# * total magnetic moment: 0.0 μB per cell
# * mass density: 9.72 Mg/m³
data_SmYPdPt
_chemical_formula_sum 'Sm2 Y2 Pd2 Pt2'
_cell_length_a 4.527
_cell_length_b 3.823
_cell_length_c 10.676
_cell_angle_alpha 90.00
_cell_angle_beta 90.00
_cell_angle_gamma 90.00
_symmetry_space_group_name_H-M 'A m m 2'
_symmetry_Int_Tables_number 38
_symmetry_space_group_name_Hall 'A 2 -2'
loop_
_atom_site_label
_atom_site_type_symbol
_atom_site_fract_x
_atom_site_fract_y
_atom_site_fract_z
_atom_site_occupancy
Sm1 Sm 0.000 0.000 0.000 1
Y1 Y 0.500 0.000 0.725 1
Pd1 Pd 0.500 0.000 0.448 1
Pt1 Pt 0.000 0.000 0.275 1

***

Arrangement b

# SmYPdPt (PBE-GGA, optimized geometry)
# * volume: 355.63 Å³ per cell
# * total magnetic moment: 0.0 μB per cell
# * mass density: 10.10 Mg/m³
data_SmYPdPt
_chemical_formula_sum 'Sm4 Y4 Pd4 Pt4'
_cell_length_a 7.085
_cell_length_b 7.085
_cell_length_c 7.085
_cell_angle_alpha 90.00
_cell_angle_beta 90.00
_cell_angle_gamma 90.00
_symmetry_space_group_name_H-M 'F -4 3 m'
_symmetry_Int_Tables_number 216
_symmetry_space_group_name_Hall 'F -4 2 3'
loop_
_atom_site_label
_atom_site_type_symbol
_atom_site_fract_x
_atom_site_fract_y
_atom_site_fract_z
_atom_site_occupancy
Sm1 Sm 0.000 0.000 0.000 1
Y1 Y 0.000 0.000 0.500 1
Pd1 Pd 0.250 0.250 0.750 1
Pt1 Pt 0.250 0.250 0.250 1

***

The most stable arrangement is arrangement a, and the next structure is 0.060 eV/atom less stable.

***

Arrangement a

# SmZnPdPt (PBE-GGA, optimized geometry)
# * volume: 237.50 Å³ per cell
# * total magnetic moment: 0.0 μB per cell
# * mass density: 10.85 Mg/m³
data_SmZnPdPt
_chemical_formula_sum 'Sm3 Zn3 Pd3 Pt3'
_cell_length_a 4.4160
_cell_length_b 4.4160
_cell_length_c 14.0557
_cell_angle_alpha 90.00
_cell_angle_beta 90.00
_cell_angle_gamma 120.00
_symmetry_space_group_name_H-M 'R 3 m'
_symmetry_Int_Tables_number 160
_symmetry_space_group_name_Hall 'R 3 -2"'
loop_
_atom_site_label
_atom_site_type_symbol
_atom_site_fract_x
_atom_site_fract_y
_atom_site_fract_z
_atom_site_occupancy
Sm1 Sm 0.0000 0.0000 0.0000 1
Zn1 Zn 0.0000 0.0000 0.4943 1
Pd1 Pd 0.0000 0.0000 0.2129 1
Pt1 Pt 0.0000 0.0000 0.7848 1

***

Arrangement b

# SmZnPdPt (PBE-GGA, optimized geometry)
# * volume: 303.49 Å³ per cell
# * total magnetic moment: 0.0 μB per cell
# * mass density: 11.32 Mg/m³
data_SmZnPdPt
_chemical_formula_sum 'Sm4 Zn4 Pd4 Pt4'
_cell_length_a 6.720
_cell_length_b 6.720
_cell_length_c 6.720
_cell_angle_alpha 90.00
_cell_angle_beta 90.00
_cell_angle_gamma 90.00
_symmetry_space_group_name_H-M 'F -4 3 m'
_symmetry_Int_Tables_number 216
_symmetry_space_group_name_Hall 'F -4 2 3'
loop_
_atom_site_label
_atom_site_type_symbol
_atom_site_fract_x
_atom_site_fract_y
_atom_site_fract_z
_atom_site_occupancy
Sm1 Sm 0.000 0.000 0.000 1
Zn1 Zn 0.000 0.000 0.500 1
Pd1 Pd 0.250 0.250 0.250 1
Pt1 Pt 0.250 0.250 0.750 1

***

The most stable arrangement is arrangement a, and the next structure is 0.091 eV/atom less stable.

***

Arrangement a

# SnPd8Pt2 (PBE-GGA, optimized geometry)
# * volume: 346.63 Å³ per cell
# * total magnetic moment: 0.0 μB per cell
# * mass density: 13.03 Mg/m³
data_SnPd8Pt2
_chemical_formula_sum 'Sn2 Pd16 Pt4'
_cell_length_a 14.359
_cell_length_b 3.997
_cell_length_c 6.241
_cell_angle_alpha 90.00
_cell_angle_beta 104.62
_cell_angle_gamma 90.00
_symmetry_space_group_name_H-M 'C 1 2/m 1'
_symmetry_Int_Tables_number 12
_symmetry_space_group_name_Hall '-C 2y'
loop_
_atom_site_label
_atom_site_type_symbol
_atom_site_fract_x
_atom_site_fract_y
_atom_site_fract_z
_atom_site_occupancy
Sn1 Sn 0.000 0.000 0.000 1
Pd1 Pd 0.046 0.500 0.727 1
Pd2 Pd 0.091 0.000 0.453 1
Pd3 Pd 0.137 0.500 0.182 1
Pd4 Pd 0.183 0.000 0.908 1
Pt1 Pt 0.226 0.500 0.633 1

***

Arrangement b

# SnPd8Pt2 (PBE-GGA, optimized geometry)
# * volume: 408.03 Å³ per cell
# * total magnetic moment: 0.0 μB per cell
# * mass density: 11.07 Mg/m³
data_SnPd8Pt2
_chemical_formula_sum 'Sn2 Pd16 Pt4'
_cell_length_a 9.947
_cell_length_b 8.993
_cell_length_c 4.756
_cell_angle_alpha 90.00
_cell_angle_beta 106.44
_cell_angle_gamma 90.00
_symmetry_space_group_name_H-M 'C 1 2/m 1'
_symmetry_Int_Tables_number 12
_symmetry_space_group_name_Hall '-C 2y'
loop_
_atom_site_label
_atom_site_type_symbol
_atom_site_fract_x
_atom_site_fract_y
_atom_site_fract_z
_atom_site_occupancy
Sn1 Sn 0.000 0.000 0.000 1
Pd1 Pd 0.075 0.500 0.292 1
Pd2 Pd 0.085 0.246 0.793 1
Pd3 Pd 0.221 0.500 0.878 1
Pt1 Pt 0.148 0.000 0.546 1

***

The most stable arrangement is arrangement a, and the next structure is 0.384 eV/atom less stable.